[1]
Entry from Alexandria: a geometry-optimized AcP3O9 structure (PBE).

Calculated values
ΔE_f (raw)	-33.1	eV per formula unit
density of states at the Fermi level	0.0	states/eV per cell
space-group type	No. 20
calculated volume	396	Å³/cell
total energy	-7.540	eV/atom

POSCAR file:
```
AcP3O9
1.0
7.322 -0.002 0.000
-1.903 7.070 0.000
0.000 0.000 7.643
Ac P O
2 6 18
Cartesian
3.420 4.461 0.000 Ac
1.999 2.608 3.821 Ac
-0.322 5.816 0.395 P
5.741 1.252 4.216 P
5.700 1.199 7.248 P
-0.281 5.869 3.427 P
1.336 1.743 0.000 P
4.083 5.326 3.821 P
1.748 0.228 7.390 O
3.670 6.841 3.569 O
-0.234 1.748 0.253 O
5.653 5.321 4.074 O
1.703 2.522 6.396 O
3.716 4.546 2.574 O
1.993 2.300 1.247 O
3.425 4.769 5.069 O
0.702 4.750 3.493 O
4.716 2.318 7.315 O
4.405 1.912 4.150 O
1.014 5.157 0.328 O
1.958 0.108 4.064 O
3.461 6.960 0.243 O
-0.404 1.919 3.579 O
5.823 5.150 7.400 O
-0.742 6.180 1.911 O
6.161 0.888 5.732 O
```

***

[2]
Entry from Alexandria: a geometry-optimized Ac3PO6 structure (PBE).

Calculated values
ΔE_f (raw)	-29.8	eV per formula unit
density of states at the Fermi level	0.0	states/eV per cell
space-group type	No. 36
calculated volume	377	Å³/cell
total energy	-7.730	eV/atom

POSCAR file:
```
Ac3PO6
1.0
-0.533 -5.455 -3.425
7.567 0.264 -1.599
-0.246 -4.096 6.562
Ac P O
6 2 12
Cartesian
6.481 -5.212 1.401 Ac
4.458 -8.919 1.523 Ac
2.653 -4.798 1.742 Ac
3.922 -6.669 -1.574 Ac
0.058 -6.616 -1.460 Ac
2.081 -2.909 -1.581 Ac
1.079 -3.663 4.940 P
5.912 -3.546 -2.098 P
4.810 -3.680 2.470 O
4.396 -6.490 0.911 O
2.562 -4.362 4.706 O
6.280 -4.865 -1.170 O
0.122 -4.950 5.359 O
1.159 -6.250 2.826 O
5.822 -1.069 -0.053 O
6.713 -3.851 -3.516 O
0.613 -3.342 3.385 O
4.332 -3.846 -2.490 O
2.427 -2.433 0.855 O
2.014 -5.242 -0.704 O
```

***

[3]
Entry from Alexandria: a geometry-optimized Ac2PO structure (PBE).

Calculated values
ΔE_f (raw)	-6.0	eV per formula unit
density of states at the Fermi level	1.7	states/eV per cell
space-group type	No. 225
calculated volume	91	Å³/cell
ΔE to the lowest computed polymorph	0.4963	eV per atom
total energy	-6.137	eV/atom

POSCAR file:
```
Ac2PO
1.0
-3.729 3.178 -1.206
-3.156 -1.129 -3.771
-4.789 -1.234 1.002
P Ac O
1 2 1
Cartesian
0.000 0.000 0.000 P
-2.918 0.204 -0.994 Ac
-8.755 0.611 -2.982 Ac
-5.837 0.407 -1.988 O
```

***

[4]
Entry from Alexandria: a geometry-optimized Ac3P2O structure (PBE).

Calculated values
ΔE_f (raw)	-10.8	eV per formula unit
density of states at the Fermi level	3.2	states/eV per cell
space-group type	No. 15
calculated volume	331	Å³/cell
total energy	-6.485	eV/atom

POSCAR file:
```
Ac3P2O
1.0
6.168 0.000 0.000
0.000 8.496 0.001
-3.084 -2.126 6.310
Ac P O
6 4 2
Cartesian
2.839 2.124 0.000 Ac
3.329 6.372 0.001 Ac
0.000 -0.003 1.957 Ac
3.085 2.124 4.354 Ac
0.000 4.246 1.958 Ac
3.084 6.373 4.355 Ac
3.081 4.249 2.181 P
3.087 0.001 2.180 P
-0.003 6.369 4.132 P
0.003 2.121 4.131 P
5.808 6.372 0.001 O
0.361 2.124 0.000 O
```

***

[5]
Entry from Alexandria: a geometry-optimized AcPPb2O8 structure (PBE).

Calculated values
ΔE_f (raw)	-18.1	eV per formula unit
space-group type	No. 164
calculated volume	158	Å³/cell
total energy	-6.224	eV/atom

POSCAR file:
```
AcPPb2O8
1.0
5.252 0.000 0.000
-2.626 4.548 0.000
0.000 0.000 6.595
Ac P Pb O
1 1 2 8
Cartesian
0.000 0.000 3.298 Ac
0.000 0.000 0.000 P
2.626 1.516 0.714 Pb
0.000 3.032 5.882 Pb
2.626 3.137 5.615 O
1.222 0.706 5.615 O
4.029 0.706 5.615 O
0.000 1.411 0.981 O
1.404 3.842 0.981 O
-1.404 3.842 0.981 O
2.626 1.516 2.736 O
0.000 3.032 3.859 O
```

***

[6]
Entry from Alexandria: a geometry-optimized Ac2PPbO8 structure (PBE).

Calculated values
ΔE_f (raw)	-22.7	eV per formula unit
density of states at the Fermi level	7.0	states/eV per cell
space-group type	No. 164
calculated volume	176	Å³/cell
total energy	-6.645	eV/atom

POSCAR file:
```
Ac2PPbO8
1.0
5.395 0.000 0.000
-2.697 4.672 0.000
0.000 0.000 6.982
Ac P Pb O
2 1 1 8
Cartesian
2.697 1.557 1.111 Ac
0.000 3.115 5.871 Ac
0.000 0.000 0.000 P
0.000 0.000 3.491 Pb
2.697 3.271 5.992 O
1.213 0.700 5.992 O
4.182 0.700 5.992 O
0.000 1.401 0.990 O
1.484 3.972 0.990 O
-1.484 3.972 0.990 O
2.697 1.557 3.384 O
0.000 3.115 3.598 O
```

***

[7]
Entry from Alexandria: a geometry-optimized AcP2PdO8 structure (PBE).

Calculated values
ΔE_f (raw)	-24.3	eV per formula unit
density of states at the Fermi level	4.6	states/eV per cell
space-group type	No. 155
calculated volume	153	Å³/cell
total energy	-7.006	eV/atom

POSCAR file:
```
AcP2PdO8
1.0
4.858 0.000 0.000
2.429 4.207 0.000
2.429 1.402 7.463
Ac P Pd O
1 2 1 8
Cartesian
0.000 0.000 0.000 Ac
7.287 4.207 5.565 P
2.429 1.402 1.898 P
4.858 2.805 3.731 Pd
7.287 4.207 7.131 O
2.429 1.402 0.332 O
3.915 1.459 2.320 O
6.494 2.948 5.143 O
3.915 4.150 5.143 O
4.164 4.294 2.320 O
6.494 2.661 2.320 O
4.164 1.316 5.143 O
```

***

[8]
Entry from Alexandria: a geometry-optimized Ac2PPdO6 structure (PBE).

Calculated values
ΔE_f (raw)	-23.1	eV per formula unit
density of states at the Fermi level	3.3	states/eV per cell
space-group type	No. 99
calculated volume	139	Å³/cell
total energy	-7.169	eV/atom

POSCAR file:
```
Ac2PPdO6
1.0
-1.057 3.421 2.545
2.553 -2.465 4.374
4.834 2.532 -1.395
Ac P Pd O
2 1 1 6
Cartesian
1.213 -1.028 2.339 Ac
2.354 1.471 -0.545 Ac
-0.649 2.101 1.563 P
3.097 1.964 2.926 Pd
0.773 2.424 2.405 O
3.621 3.915 1.584 O
3.611 0.301 1.689 O
-0.267 0.864 0.643 O
5.125 2.463 4.160 O
2.277 0.972 4.982 O
```